Here is an optimized crystal structure of InRu from Alexandria. Energies are from PBE.

The calculation puts the total energy at -34.54 eV/cell. For the energy of formation from the pure elements, the calculation gives 0.250 eV/atom.

The structure belongs to space group R-3m (No. 166, hexagonal axes); the cell edges are 3.0671, 3.0671 and 12.8400 Å and the angles 90.00°, 90.00° and 120.00°. Symmetry generates all atoms from In at (0.0000, 0.0000, 0.0000) and Ru at (0.0000, 0.0000, 0.5000).

Here is an optimized crystal structure of BaLaMo2 from Alexandria. Energies are from PBE.

The value obtained for the polymorph energy (0 for the lowest one) is 790 meV/atom. The calculation puts the total energy at -23.42 eV/cell. For the energy of formation from the pure elements, the calculation gives 1.274 eV/atom.

The structure belongs to space group P4/mmm (No. 123); the cell edges are 5.294, 5.294 and 3.751 Å and the angles 90.00°, 90.00° and 90.00°. Symmetry generates all atoms from Ba at (0.000, 0.000, 0.000), La at (0.500, 0.500, 0.000) and Mo at (0.000, 0.500, 0.500).

Here is an optimized crystal structure of Mn2HgW from Alexandria. Energies are from PBE.

The calculation puts the total energy at -58.79 eV/cell. For the energy of formation from the pure elements, the calculation gives 0.550 eV/atom.

The structure belongs to space group I-4m2 (No. 119); the cell edges are 3.794, 3.794 and 8.397 Å and the angles 90.00°, 90.00° and 90.00°. Symmetry generates all atoms from Mn at (0.000, 0.000, 0.000), Mn at (0.000, 0.500, 0.250), Hg at (0.000, 0.000, 0.500) and W at (0.000, 0.500, 0.750).

Here is an optimized crystal structure of Ca3MgP from Alexandria. Energies are from PBE.

The value obtained for the polymorph energy (0 for the lowest one) is 37 meV/atom. The calculation puts the total energy at -31.32 eV/cell. For the energy of formation from the pure elements, the calculation gives -0.530 eV/atom.

The structure belongs to space group P1 (No. 1); the cell edges are 4.006, 8.641 and 9.004 Å and the angles 102.86°, 90.01° and 103.38°. Symmetry generates all atoms from Ca at (0.000, 0.000, 0.000), Ca at (0.099, 0.198, 0.702), Ca at (0.202, 0.403, 0.375), Ca at (0.302, 0.604, 0.855), Ca at (0.508, 0.015, 0.365), Ca at (0.880, 0.760, 0.577), Mg at (0.668, 0.335, 0.042), Mg at (0.849, 0.695, 0.194), P at (0.476, 0.952, 0.756) and P at (0.714, 0.427, 0.623).

Here is an optimized crystal structure of MgSiOs2 from Alexandria. Energies are from PBE.

The calculation puts the total energy at -58.01 eV/cell.

The structure belongs to space group Cmmm (No. 65); the cell edges are 2.973, 4.795 and 8.307 Å and the angles 90.00°, 90.00° and 90.00°. Symmetry generates all atoms from Mg at (0.000, 0.000, 0.000), Si at (0.000, 0.000, 0.500) and Os at (0.000, 0.500, 0.277).

Here is an optimized crystal structure of MgPd12Au7 from Alexandria. Energies are from PBE.

The calculation puts the total energy at -262.13 eV/cell. For the energy of formation from the pure elements, the calculation gives -0.026 eV/atom.

The structure belongs to space group R-3 (No. 148, hexagonal axes); the cell edges are 9.8677, 9.8677 and 12.1386 Å and the angles 90.00°, 90.00° and 120.00°. Symmetry generates all atoms from Mg at (0.0000, 0.0000, 0.0000), Pd at (0.0340, 0.5767, 0.7061), Pd at (0.0562, 0.4620, 0.0870), Au at (0.0000, 0.0000, 0.5000) and Au at (0.0427, 0.8561, 0.8022).

Here is an optimized crystal structure of Sr3Ga6Cu5 from Alexandria. Energies are from PBE.

The calculation puts the total energy at -95.04 eV/cell. For the energy of formation from the pure elements, the calculation gives -0.274 eV/atom.

The structure belongs to space group Pmmn (No. 59, origin choice 2); the cell edges are 4.255, 12.398 and 10.713 Å and the angles 90.00°, 90.00° and 90.00°. Symmetry generates all atoms from Sr at (0.250, 0.092, 0.246), Sr at (0.250, 0.750, 0.255), Ga at (0.250, 0.054, 0.591), Ga at (0.250, 0.250, 0.490), Ga at (0.250, 0.250, 0.984), Ga at (0.250, 0.576, 0.012), Cu at (0.250, 0.078, 0.851), Cu at (0.250, 0.643, 0.524) and Cu at (0.250, 0.750, 0.900).

Here is an optimized crystal structure of YZr2W from Alexandria. Energies are from PBE.

The value obtained for the polymorph energy (0 for the lowest one) is 81 meV/atom. The calculation puts the total energy at -71.03 eV/cell. For the energy of formation from the pure elements, the calculation gives 0.249 eV/atom.

The structure belongs to space group Cmmm (No. 65); the cell edges are 3.501, 5.150 and 10.128 Å and the angles 90.00°, 90.00° and 90.00°. Symmetry generates all atoms from Y at (0.000, 0.000, 0.000), Zr at (0.000, 0.500, 0.290) and W at (0.000, 0.000, 0.500).